[1]
{"formula": "LiHg2As", "functional": "PBE", "state": "optimized geometry", "n_ef_per_ev_fu": 1.5, "formation_energy_ev_per_atom": -0.071, "cell": [[3.184, 0.000, 0.000], [0.000, 5.308, 0.000], [-0.514, 0.000, 5.080]], "species": ["Li", "Hg", "Hg", "As"], "fractional_positions": [[0.000, 0.000, 0.000], [0.265, 0.500, 0.244], [0.735, 0.500, 0.756], [0.500, 0.000, 0.500]]}



[2]
{"formula": "LiHg2As", "functional": "PBE", "state": "optimized geometry", "n_ef_per_ev_fu": 1.7, "formation_energy_ev_per_atom": -0.003, "cell": [[5.732, 0.000, 0.000], [0.000, 8.592, 0.000], [0.000, 0.000, 3.432]], "species": ["Li", "Li", "Hg", "Hg", "Hg", "Hg", "As", "As"], "fractional_positions": [[0.000, 0.000, 0.000], [0.500, 0.500, 0.000], [0.250, 0.250, 0.500], [0.250, 0.750, 0.500], [0.750, 0.250, 0.500], [0.750, 0.750, 0.500], [0.000, 0.500, 0.000], [0.500, 0.000, 0.000]]}



[3]
{"formula": "LiHg2As", "functional": "PBE", "state": "optimized geometry", "n_ef_per_ev_fu": 0.8, "formation_energy_ev_per_atom": -0.093, "cell": [[3.226, 0.000, 0.000], [0.000, 4.198, 0.000], [0.000, 0.000, 6.270]], "species": ["Li", "Hg", "Hg", "As"], "fractional_positions": [[0.000, 0.000, 0.000], [0.000, 0.000, 0.460], [0.500, 0.500, 0.717], [0.500, 0.500, 0.154]]}



What did the first record say?
{"formula": "LiHg2As", "functional": "PBE", "state": "optimized geometry", "n_ef_per_ev_fu": 1.5, "formation_energy_ev_per_atom": -0.071, "cell": [[3.184, 0.000, 0.000], [0.000, 5.308, 0.000], [-0.514, 0.000, 5.080]], "species": ["Li", "Hg", "Hg", "As"], "fractional_positions": [[0.000, 0.000, 0.000], [0.265, 0.500, 0.244], [0.735, 0.500, 0.756], [0.500, 0.000, 0.500]]}